a | Material: TiFe3Sn
Method: DFT, PBE
State: optimized geometry

abc: 4.720 4.720 4.720
angles: 90.00 90.00 90.00
Each line ends with the local moment (μB).
Sites, in units of the cell vectors:
Fe 0.500 0.000 0.000  2.69
Fe 0.000 0.500 0.000  2.76
Fe 0.000 0.000 0.500  2.86
Sn 0.000 0.000 0.000  -0.08
Ti 0.500 0.500 0.500  -1.60

Values from the calculation:
density	5.276	g cm⁻³



b | Material: TiFe3Sn
Method: DFT, PBE
State: optimized geometry

abc: 4.429 4.429 4.429
angles: 90.00 90.00 90.00
Each line ends with the local moment (μB).
Sites, in units of the cell vectors:
Fe 0.000 0.000 0.500  2.23
Fe 0.500 0.000 0.000  1.91
Fe 0.000 0.500 0.000  2.14
Sn 0.500 0.500 0.500  -0.01
Ti 0.000 0.000 0.000  -0.81

Values from the calculation:
density	6.386	g cm⁻³



Going by the computed energies, the most stable comes first: b, a.



a | Material: TiFeSn3
Method: DFT, PBE
State: optimized geometry

abc: 4.898 4.898 4.898
angles: 90.00 90.00 90.00
Each line ends with the local moment (μB).
Sites, in units of the cell vectors:
Ti 0.500 0.500 0.500  1.59
Sn 0.000 0.500 0.000  -0.01
Sn 0.500 0.000 0.000  -0.03
Sn 0.000 0.000 0.500  -0.03
Fe 0.000 0.000 0.000  0.99

Values from the calculation:
density	6.499	g cm⁻³



b | Material: TiFeSn3
Method: DFT, PBE
State: optimized geometry

abc: 5.179 5.179 5.179
angles: 90.00 90.00 90.00
Each line ends with the local moment (μB).
Sites, in units of the cell vectors:
Fe 0.500 0.500 0.500  3.26
Sn 0.000 0.000 0.500  0.04
Sn 0.500 0.000 0.000  0.02
Sn 0.000 0.500 0.000  0.02
Ti 0.000 0.000 0.000  0.22

Values from the calculation:
density	5.497	g cm⁻³



Going by the computed energies, the most stable comes first: a, b.